Record 1
A plane-wave DFT calculation with PBE+U was carried out for a geometry-optimized Na2ScVO structure.

The total energy is -2.660 eV per atom. Its space group is P4/mmm. The value obtained for the density of states at the Fermi level is 6.72 states/eV/cell.

Cell and atoms, written as POSCAR:
```
Na2ScVO
1.0
-3.4173 -3.5579 -3.1076
1.6300 -3.8103 2.5699
-4.3032 0.7622 3.8595
O Na Sc V
1 2 1 1
Direct
0.5000 0.5000 0.5000
0.5000 0.0000 0.0000
0.0000 0.0000 0.5000
0.0000 0.0000 0.0000
0.0000 0.5000 0.0000
```

=====

Record 2
A plane-wave DFT calculation with PBE+U was carried out for a geometry-optimized NaScVO4 structure.

The total energy is -7.385 eV per atom. Its space group is P2_1/m.

Cell and atoms, written as POSCAR:
```
NaScVO4
1.0
-1.3847 1.4639 5.0910
-5.3347 0.3355 -1.5474
-0.2182 -7.1157 -0.7904
O Na V Sc
8 2 2 2
Direct
0.4672 0.7500 0.1854
0.5328 0.2500 0.8146
0.4802 0.7500 0.5602
0.0038 0.5104 0.3166
0.0038 0.9896 0.3166
0.9962 0.4896 0.6834
0.9962 0.0104 0.6834
0.5198 0.2500 0.4398
0.6279 0.2500 0.1528
0.3721 0.7500 0.8472
0.2332 0.7500 0.3066
0.7668 0.2500 0.6934
0.8012 0.7500 0.4660
0.1988 0.2500 0.5340
```

=====

Record 3
A plane-wave DFT calculation with PBE+U was carried out for a geometry-optimized NaScVO2 structure.

The total energy is -5.337 eV per atom. Its space group is P4/mmm. The value obtained for the density of states at the Fermi level is 3.34 states/eV/cell.

Cell and atoms, written as POSCAR:
```
NaScVO2
1.0
3.9143 0.0000 0.0000
0.0000 5.3055 0.0000
0.0000 0.0000 3.9143
O V Sc Na
2 1 1 1
Direct
0.5000 0.0000 0.0000
0.0000 0.0000 0.5000
0.0000 0.0000 0.0000
0.0000 0.5000 0.0000
0.5000 0.5000 0.5000
```

=====

Record 4
A plane-wave DFT calculation with PBE+U was carried out for a geometry-optimized Na2ScVO4 structure.

The total energy is -6.659 eV per atom. Its space group is I-4.

Cell and atoms, written as POSCAR:
```
Na2ScVO4
1.0
-4.8198 -1.7451 1.1600
3.8426 -3.4779 0.8720
1.6663 3.9627 3.0236
Sc O Na V
1 4 2 1
Direct
0.5000 0.2500 0.7500
0.4418 0.8444 0.7393
0.1051 0.2607 0.7024
0.8949 0.5973 0.1556
0.5582 0.2976 0.4027
0.5000 0.7500 0.2500
0.0000 0.0000 0.0000
0.0000 0.5000 0.5000
```

=====

Record 5
A plane-wave DFT calculation with PBE+U was carried out for a geometry-optimized NaScWO5 structure.

The total energy is -7.337 eV per atom. Its space group is C2/c. The value obtained for the density of states at the Fermi level is 0.00 states/eV/cell.

Cell and atoms, written as POSCAR:
```
NaScWO5
1.0
6.0420 -0.0257 0.0244
-1.7884 5.7714 0.0244
-1.7389 -2.3488 6.9711
O Sc W Na
10 2 2 2
Direct
0.9061 0.3225 0.1218
0.9362 0.0638 0.7500
0.0638 0.9362 0.2500
0.2377 0.3878 0.5776
0.6122 0.7623 0.9224
0.0939 0.6775 0.8782
0.3878 0.2377 0.0776
0.3225 0.9061 0.6218
0.6775 0.0939 0.3782
0.7623 0.6122 0.4224
0.0000 0.0000 0.0000
0.0000 0.0000 0.5000
0.3163 0.6837 0.7500
0.6837 0.3163 0.2500
0.7044 0.2956 0.7500
0.2956 0.7044 0.2500
```

=====

Record 6
A plane-wave DFT calculation with PBE+U was carried out for a geometry-optimized NaScW2O8 structure.

Its space group is I-4m2. The value obtained for the density of states at the Fermi level is 0.00 states/eV/cell. Its distance to the lowest polymorph of the same formula is 160.5 meV per atom.

Cell and atoms, written as POSCAR:
```
NaScW2O8
1.0
-0.6471 -1.0031 -5.9299
5.6089 -0.7213 2.1466
-3.4743 -4.0611 2.8329
W O Sc Na
2 8 1 1
Direct
0.5000 0.5000 0.0000
0.7500 0.2500 0.5000
0.7554 0.0661 0.6893
0.3408 0.1336 0.7928
0.4519 0.6592 0.7928
0.8664 0.6592 0.2072
0.3408 0.5481 0.2072
0.9339 0.2446 0.3107
0.3768 0.0661 0.3107
0.9339 0.6232 0.6893
0.2500 0.7500 0.5000
0.0000 0.0000 0.0000
```

=====

Number 1: magnetization 2.88 μB per formula unit. Number 2: magnetization 1.00 μB per formula unit. Number 3: magnetization 1.21 μB per formula unit. Number 4: magnetization 0.05 μB per formula unit. Number 5: magnetization 0.00 μB per formula unit. Number 6: magnetization 0.00 μB per formula unit.